Entry 1:
YSc2Se after structural relaxation. Source: Alexandria, functional GGA-PBE.

a b c (Å): 3.8042 4.5394 5.9862
angles (deg): 90.00 107.83 90.00
Closest atoms and distances in Å follow each position.
Space group P2/m (No. 10)
Symmetry-distinct sites (fractional):
Y  0.0000  0.0000  0.0000 [1 per cell]  2 Se 2.99, 4 Sc 3.33
Sc  0.3530  0.5000  0.7210 [2 per cell]  2 Se 2.76
Se  0.0000  0.0000  0.5000 [1 per cell]  4 Sc 2.76, 2 Y 2.99

## Properties
raw total energy = -6.2132 eV per atom
crystal system = monoclinic

=====

Entry 2:
Sr3CaMg after structural relaxation. Source: Alexandria, functional GGA-PBE.

a b c (Å): 4.1502 12.2016 9.3311
angles (deg): 90.00 90.03 90.00
Closest atoms and distances in Å follow each position.
Space group P2_1/m (No. 11)
Symmetry-distinct sites (fractional):
Sr  0.2494  0.0043  0.2713 [4 per cell]  2 Mg 3.64-3.65, 1 Ca 3.97
Sr  0.2498  0.2500  0.9635 [2 per cell]  2 Mg 3.52, 1 Ca 3.85
Ca  0.2490  0.2500  0.5507 [2 per cell]  2 Mg 3.35-3.36
Mg  0.2516  0.7500  0.7318 [2 per cell]  2 Ca 3.35-3.36, 6 Sr 3.52-3.65

## Properties
raw total energy = -1.6743 eV per atom
crystal system = monoclinic
distance to the lowest polymorph of the same formula = 56 meV per atom
calculated formation energy = 5.2 kJ per mole of atoms

=====

Entry 3:
KBa2Cr after structural relaxation. Source: Alexandria, functional GGA-PBE.

a b c (Å): 5.3148 6.7276 10.8207
angles (deg): 90.00 90.00 90.00
Closest atoms and distances in Å follow each position.
Space group Immm (No. 71)
Symmetry-distinct sites (fractional):
K  0.0000  0.0000  0.0000 [2 per cell]  8 Ba 4.02-4.13, 4 Cr 4.29
Ba  0.0000  0.5000  0.2210 [4 per cell]  2 Cr 3.58
Cr  0.0000  0.0000  0.5000 [2 per cell]  4 Ba 3.58

## Properties
raw total energy = -3.0678 eV per atom
crystal system = orthorhombic
distance to the lowest polymorph of the same formula = 133 meV per atom
calculated formation energy = 55.4 kJ per mole of atoms

=====

Entry 4:
SmDyAgAu after structural relaxation. Source: Alexandria, functional GGA-PBE.

a b c (Å): 7.3057 7.3057 7.3057
angles (deg): 90.00 90.00 90.00
Closest atoms and distances in Å follow each position.
Space group F-43m (No. 216)
Symmetry-distinct sites (fractional):
Sm  0.0000  0.0000  0.0000 [4 per cell]  4 Ag 3.16, 4 Au 3.16
Dy  0.0000  0.0000  0.5000 [4 per cell]  4 Ag 3.16, 4 Au 3.16
Ag  0.2500  0.2500  0.2500 [4 per cell]  4 Dy 3.16, 4 Sm 3.16
Au  0.2500  0.2500  0.7500 [4 per cell]  4 Dy 3.16, 4 Sm 3.16

## Properties
raw total energy = -4.4240 eV per atom
crystal system = cubic
distance to the lowest polymorph of the same formula = 11 meV per atom
calculated formation energy = -54.2 kJ per mole of atoms

=====

Entry 5:
CaCePmY after structural relaxation. Source: Alexandria, functional GGA-PBE.

a b c (Å): 8.2219 8.2219 8.2219
angles (deg): 90.00 90.00 90.00
Closest atoms and distances in Å follow each position.
Space group F-43m (No. 216)
Symmetry-distinct sites (fractional):
Ca  0.0000  0.0000  0.0000 [4 per cell]  4 Y 3.56, 4 Pm 3.56
Ce  0.0000  0.0000  0.5000 [4 per cell]  4 Pm 3.56, 4 Y 3.56
Pm  0.2500  0.2500  0.2500 [4 per cell]  4 Ce 3.56, 4 Ca 3.56
Y  0.2500  0.2500  0.7500 [4 per cell]  4 Ce 3.56, 4 Ca 3.56

## Properties
raw total energy = -4.5522 eV per atom
crystal system = cubic
calculated formation energy = 22.7 kJ per mole of atoms

=====

Entry 6:
AcCd9Pd2 after structural relaxation. Source: Alexandria, functional GGA-PBE.

a b c (Å): 11.8158 11.8158 7.6393
angles (deg): 90.00 90.00 90.00
Closest atoms and distances in Å follow each position.
Space group I4_1/amd (No. 141, origin choice 2)
Symmetry-distinct sites (fractional):
Ac  0.0000  0.2500  0.3750 [4 per cell]  18 Cd 3.64-3.84
Cd  0.0000  0.2500  0.8750 [4 per cell]  4 Pd 3.10, 8 Cd 3.14
Cd  0.1212  0.0491  0.6830 [32 per cell]  6 Cd 2.86-3.14, 2 Pd 2.87
Pd  0.0000  0.0000  0.0000 [8 per cell]  10 Cd 2.87-3.10

## Properties
raw total energy = -2.1878 eV per atom
crystal system = tetragonal
calculated formation energy = -28.3 kJ per mole of atoms

=====

Entry 7:
CsMg2HgAs after structural relaxation. Source: Alexandria, functional GGA-PBE.

a b c (Å): 5.3833 5.3833 5.6369
angles (deg): 90.00 90.00 90.00
Closest atoms and distances in Å follow each position.
Space group P4/mmm (No. 123)
Symmetry-distinct sites (fractional):
Cs  0.0000  0.0000  0.0000 [1 per cell]  4 As 3.81, 8 Mg 3.90
Mg  0.0000  0.5000  0.5000 [2 per cell]  2 Hg 2.69
Hg  0.5000  0.5000  0.5000 [1 per cell]  4 Mg 2.69, 2 As 2.82
As  0.5000  0.5000  0.0000 [1 per cell]  2 Hg 2.82

## Properties
raw total energy = -1.6601 eV per atom
crystal system = tetragonal
calculated formation energy = 13.4 kJ per mole of atoms

=====

Entry 8:
Li2TbDy2Bi2 after structural relaxation. Source: Alexandria, functional GGA-PBE.

a b c (Å): 4.8949 4.8949 26.4060
angles (deg): 90.00 90.00 120.00
Closest atoms and distances in Å follow each position.
Space group R-3m (No. 166, hexagonal axes)
Symmetry-distinct sites (fractional):
Li  0.0000  0.0000  0.0898 [6 per cell]  3 Bi 2.84, 3 Dy 3.17
Tb  0.0000  0.0000  0.5000 [3 per cell]  6 Bi 3.34, 2 Dy 3.46, 6 Li 3.48
Dy  0.0000  0.0000  0.3690 [6 per cell]  3 Li 3.17, 3 Bi 3.28, 3 Dy 3.40, 1 Tb 3.46
Bi  0.0000  0.0000  0.2344 [6 per cell]  3 Li 2.84

## Properties
raw total energy = -4.0096 eV per atom
crystal system = trigonal
calculated formation energy = -36.4 kJ per mole of atoms

=====

Entry 9:
AlBiS3 after structural relaxation. Source: Alexandria, functional GGA-PBE.

a b c (Å): 4.6507 4.6507 4.6507
angles (deg): 90.00 90.00 90.00
Closest atoms and distances in Å follow each position.
Space group Pm-3m (No. 221)
Symmetry-distinct sites (fractional):
Al  0.0000  0.0000  0.0000 [1 per cell]  6 S 2.33
Bi  0.5000  0.5000  0.5000 [1 per cell]  12 S 3.29
S  0.0000  0.0000  0.5000 [3 per cell]  2 Al 2.33

## Properties
raw total energy = -4.2725 eV per atom
crystal system = cubic
distance to the lowest polymorph of the same formula = 431 meV per atom

=====

Entry 10:
Dy3Ho2Er6Hf after structural relaxation. Source: Alexandria, functional GGA-PBE.

a b c (Å): 6.0392 10.4417 11.5226
angles (deg): 90.00 99.99 90.00
Closest atoms and distances in Å follow each position.
Space group C2/m (No. 12)
Symmetry-distinct sites (fractional):
Dy  0.0000  0.0000  0.0000 [2 per cell]  6 Dy 3.48, 6 Er 3.52-3.56
Dy  0.0000  0.3334  0.0000 [4 per cell]  6 Dy 3.48-3.49, 6 Er 3.52-3.56
Ho  0.0000  0.1668  0.5000 [4 per cell]  6 Er 3.43, 3 Hf 3.48-3.49, 3 Ho 3.48
Er  0.2442  0.3369  0.7439 [8 per cell]  1 Hf 3.40, 6 Er 3.41-3.52, 2 Ho 3.43, 3 Dy 3.52-3.56
Er  0.2449  0.5000  0.2564 [4 per cell]  1 Hf 3.39, 6 Er 3.41-3.52, 2 Ho 3.43, 3 Dy 3.53-3.56
Hf  0.0000  0.5000  0.5000 [2 per cell]  6 Er 3.39-3.40, 6 Ho 3.48-3.49

## Properties
raw total energy = -4.9661 eV per atom
crystal system = monoclinic
calculated formation energy = 5.6 kJ per mole of atoms

=====

Entry 11:
ThAs2Pb after structural relaxation. Source: Alexandria, functional GGA-PBE.

a b c (Å): 4.3734 4.3734 25.9135
angles (deg): 90.00 90.00 120.00
Closest atoms and distances in Å follow each position.
Space group R-3m (No. 166, hexagonal axes)
Symmetry-distinct sites (fractional):
Th  0.0000  0.0000  0.0000 [3 per cell]  6 As 2.95
As  0.0000  0.0000  0.3922 [6 per cell]  1 Pb 2.79, 3 Th 2.95
Pb  0.0000  0.0000  0.5000 [3 per cell]  2 As 2.79

## Properties
raw total energy = -5.4155 eV per atom
crystal system = trigonal
distance to the lowest polymorph of the same formula = 356 meV per atom
calculated formation energy = -29.8 kJ per mole of atoms

=====

Entry 12:
YInAg after structural relaxation. Source: Alexandria, functional GGA-PBE.

a b c (Å): 3.7623 3.7623 6.4439
angles (deg): 90.00 90.00 120.00
Closest atoms and distances in Å follow each position.
Space group P3m1 (No. 156)
Symmetry-distinct sites (fractional):
Y  0.0000  0.0000  0.0000 [1 per cell]  3 Ag 3.02, 3 In 3.27
In  0.3333  0.6667  0.6204 [1 per cell]  3 Ag 2.89
Ag  0.6667  0.3333  0.3248 [1 per cell]  3 In 2.89, 3 Y 3.02

## Properties
raw total energy = -4.1370 eV per atom
crystal system = trigonal
calculated formation energy = -11.5 kJ per mole of atoms